PBE NaHfIO2, optimized geometry; formation energy (no corrections) = 267 meV/atom; relative energy among the computed polymorphs = 2.3006 eV/atom
1.0
-2.920 -1.281 -2.768
2.997 -1.917 -2.275
-0.664 -4.146 2.619
I Na Hf O
1 1 1 2
Cartesian
-0.332 -2.073 1.309
0.000 0.000 0.000
-0.294 -3.672 -1.212
1.498 -0.958 -1.137
-1.460 -0.640 -1.384

PBE LiZrIn, optimized geometry; ΔH_f (0 K) = -0.12 eV/atom; relative energy among the computed polymorphs = 0.1011 eV/atom
1.0
-10.530 -12.908 -3.219
-2.595 -6.972 -2.914
4.672 4.966 4.165
Li Zr In
2 2 2
Cartesian
-6.429 -10.086 -1.542
1.040 0.456 2.962
-4.168 -7.717 -1.498
-9.421 -14.131 -3.063
-4.264 -6.073 1.299
-1.126 -3.553 0.129

PBE Ce3H2Pb2, optimized geometry; VASP energy = -0.3607 Ry per atom
1.0
-2.146 2.602 0.779
-2.787 -3.230 -4.512
-3.781 -0.841 7.725
Ce H Pb
3 2 2
Cartesian
0.000 0.000 0.000
-3.867 -0.683 -0.636
-4.847 -0.786 4.628
-5.898 0.029 6.694
-2.816 -1.498 -2.702
-6.306 -1.080 1.670
-2.408 -0.389 2.322

PBE YPuTh14, optimized geometry; ΔH_f (0 K) = 0.04 eV/atom
1.0
7.130 -0.417 0.000
-3.178 6.396 0.000
0.000 0.000 11.546
Y Pu Th
1 1 14
Cartesian
-2.750 6.113 5.773
2.406 2.706 5.773
-1.037 4.982 0.000
4.115 1.576 0.000
-1.130 2.897 5.773
0.554 1.787 0.000
0.845 5.884 5.773
2.525 4.770 0.000
2.273 0.653 8.638
2.273 0.653 2.908
4.242 3.633 8.638
4.242 3.633 2.908
0.690 3.840 8.643
0.690 3.840 2.903
5.841 0.436 8.672
5.841 0.436 2.874

PBE Ga2TcPbS, optimized geometry; formation energy (no corrections) = 1334 meV/atom
1.0
5.391 0.000 0.000
0.000 5.416 0.000
0.000 0.000 5.391
Pb S Tc Ga
1 1 1 2
Cartesian
0.000 0.000 0.000
2.695 2.708 2.695
0.000 2.708 0.000
0.000 0.000 2.695
2.695 0.000 0.000

PBE BaSr2Cd2Sn2, optimized geometry; ΔH_f (0 K) = -0.45 eV/atom
1.0
-4.960 1.537 0.224
-3.699 -2.809 -2.333
-4.159 -5.765 7.748
Ba Sr Cd Sn
1 2 2 2
Cartesian
0.000 0.000 0.000
-3.643 -3.596 4.316
-9.177 -3.441 1.323
-6.133 -2.357 0.981
-6.686 -4.681 4.658
-9.643 -5.398 4.418
-3.176 -1.640 1.221

no.,total magnetization (μB/cell)
1,0.0
2,0.0
3,3.5
4,5.7
5,4.0
6,0.0